1.
Entry from the Alexandria database: Gd2Al9Ir3 after structural relaxation (PBE).

The structure in POSCAR format:
```
Gd2Al9Ir3
1.0
-2.160 4.908 -5.339
-3.845 -6.454 0.901
-5.733 4.289 6.262
Gd Al Ir
4 18 6
Direct
0.004 0.329 0.750
0.329 0.004 0.750
0.996 0.671 0.250
0.671 0.996 0.250
0.001 0.335 0.074
0.999 0.665 0.926
0.870 0.870 0.750
0.001 0.335 0.426
0.335 0.001 0.074
0.340 0.548 0.250
0.333 0.333 0.950
0.999 0.665 0.574
0.667 0.667 0.050
0.667 0.667 0.450
0.548 0.340 0.250
0.665 0.999 0.926
0.452 0.660 0.750
0.660 0.452 0.750
0.335 0.001 0.426
0.333 0.333 0.550
0.665 0.999 0.574
0.130 0.130 0.250
0.672 0.328 0.000
0.000 0.000 0.500
0.000 0.000 0.000
0.328 0.672 0.000
0.328 0.672 0.500
0.672 0.328 0.500
```

Summary:
* E_form: -0.861 eV per atom

---

2.
Entry from the Alexandria database: Gd2AlIr after structural relaxation (PBE).

The structure in POSCAR format:
```
Gd2AlIr
1.0
3.592 0.000 0.000
0.000 3.592 0.000
0.000 0.000 6.926
Gd Ir Al
2 1 1
Direct
0.000 0.000 0.768
0.000 0.000 0.232
0.500 0.500 0.000
0.500 0.500 0.500
```

Summary:
* E_form: -0.585 eV per atom

---

3.
Entry from the Alexandria database: GdAlIrRh after structural relaxation (PBE).

The structure in POSCAR format:
```
GdAlIrRh
1.0
4.606 0.000 0.000
2.303 3.989 0.000
2.303 1.330 3.761
Rh Gd Ir Al
1 1 1 1
Direct
0.000 0.000 0.000
0.750 0.750 0.750
0.500 0.500 0.500
0.250 0.250 0.250
```

Summary:
* E_form: -0.737 eV per atom

---

4.
Entry from the Alexandria database: La2GdAl after structural relaxation (PBE).

The structure in POSCAR format:
```
La2GdAl
1.0
3.793 0.000 0.000
0.000 3.793 0.000
0.000 0.000 8.754
Al Gd La
1 1 2
Direct
0.500 0.500 0.000
0.500 0.500 0.500
0.000 0.000 0.212
0.000 0.000 0.788
```

Summary:
* energy relative to the lowest polymorph listed for this composition: 40 meV per atom
* E_form: -0.140 eV per atom

---

5.
Entry from the Alexandria database: LaGd2Al after structural relaxation (PBE).

The structure in POSCAR format:
```
LaGd2Al
1.0
4.842 0.000 0.000
0.000 4.877 0.000
0.000 0.000 4.877
Al La Gd
1 1 2
Direct
0.500 0.000 0.000
0.500 0.500 0.500
0.000 0.000 0.500
0.000 0.500 0.000
```

Summary:
* energy relative to the lowest polymorph listed for this composition: 2 meV per atom
* E_form: -0.184 eV per atom

---

6.
Entry from the Alexandria database: LaGd2Al after structural relaxation (PBE).

The structure in POSCAR format:
```
LaGd2Al
1.0
5.430 0.000 0.000
2.715 4.703 0.000
2.715 1.568 4.434
Gd La Al
2 1 1
Direct
0.250 0.250 0.250
0.750 0.750 0.750
0.000 0.000 0.000
0.500 0.500 0.500
```

Summary:
* energy relative to the lowest polymorph listed for this composition: 139 meV per atom
* E_form: -0.047 eV per atom

---

7.
Entry from the Alexandria database: LaGd2Al after structural relaxation (PBE).

The structure in POSCAR format:
```
LaGd2Al
1.0
3.499 0.000 0.000
1.750 3.030 0.000
1.750 1.010 12.023
Al Gd La
1 2 1
Direct
0.000 0.000 0.000
0.085 0.085 0.745
0.915 0.915 0.255
0.500 0.500 0.500
```

Summary:
* energy relative to the lowest polymorph listed for this composition: 479 meV per atom
* E_form: 0.293 eV per atom

---

8.
Entry from the Alexandria database: LaGd2Al after structural relaxation (PBE).

The structure in POSCAR format:
```
LaGd2Al
1.0
-1.074 -3.254 -1.008
1.451 -1.394 2.952
-7.947 1.232 4.489
Gd Al La
2 1 1
Direct
0.000 0.000 0.793
0.000 0.000 0.207
0.500 0.500 0.000
0.500 0.500 0.500
```

Summary:
* energy relative to the lowest polymorph listed for this composition: 0 meV per atom
* E_form: -0.186 eV per atom

---

Number 1: raw total energy -200.952 eV for the cell shown. Number 2: raw total energy -43.107 eV for the cell shown. Number 3: raw total energy -36.982 eV for the cell shown. Number 4: raw total energy -28.237 eV for the cell shown. Number 5: raw total energy -37.566 eV for the cell shown. Number 6: raw total energy -37.018 eV for the cell shown. Number 7: raw total energy -35.660 eV for the cell shown. Number 8: raw total energy -37.575 eV for the cell shown.